# PBE CaZn2Rh, relaxed
data_CaZn2Rh
_chemical_formula_sum 'Ca4 Zn8 Rh4'
_cell_length_a 4.4532
_cell_length_b 4.4532
_cell_length_c 17.8500
_cell_angle_alpha 90.00
_cell_angle_beta 90.00
_cell_angle_gamma 90.00
_symmetry_space_group_name_H-M 'I -4 2 d'
_symmetry_Int_Tables_number 122
_symmetry_space_group_name_Hall 'I -4 2bw'
loop_
_atom_site_label
_atom_site_type_symbol
_atom_site_fract_x
_atom_site_fract_y
_atom_site_fract_z
Ca1 Ca 0.0000 0.0000 0.0000
Zn1 Zn 0.0939 0.2500 0.6250
Rh1 Rh 0.0000 0.0000 0.5000
# D(E_F) (states/eV per atom): 0.41
# Calculated formation energy (eV per atom): -0.13
# Raw total energy (eV per atom): -3.1009